Version 1
A plane-wave DFT calculation with GGA-PBE was carried out for a relaxed BeSi2RhF crystal.

```
BeSi2RhF
1.0
4.2456 0.0000 0.0000
0.0000 4.2456 0.0000
0.0000 0.0000 4.1529
Be Si Rh F
1 2 1 1
direct
0.0000 0.0000 0.0000
0.0000 0.5000 0.5000
0.5000 0.0000 0.5000
0.5000 0.5000 0.0000
0.5000 0.5000 0.5000
```

Version 2
A plane-wave DFT calculation with GGA-PBE was carried out for a relaxed BeSi2RhF crystal.

```
BeSi2RhF
1.0
4.4821 0.0000 0.0000
0.0000 4.4821 0.0000
0.0000 0.0000 4.3375
Be Si Rh F
1 2 1 1
direct
0.0000 0.0000 0.0000
0.0000 0.5000 0.5000
0.5000 0.0000 0.5000
0.0000 0.0000 0.5000
0.5000 0.5000 0.0000
```

Most stable = version 2

Version 1
A plane-wave DFT calculation with GGA-PBE was carried out for a relaxed BeRuF3 crystal.

```
BeRuF3
1.0
4.1544 0.0000 0.0000
0.0000 4.1544 0.0000
0.0000 0.0000 4.1544
Be Ru F
1 1 3
direct
0.0000 0.0000 0.0000
0.5000 0.5000 0.5000
0.0000 0.5000 0.5000
0.5000 0.0000 0.5000
0.5000 0.5000 0.0000
```

Version 2
A plane-wave DFT calculation with GGA-PBE was carried out for a relaxed BeRuF3 crystal.

```
BeRuF3
1.0
3.7151 0.0000 0.0000
0.0000 3.7151 0.0000
0.0000 0.0000 3.7151
Be Ru F
1 1 3
direct
0.0000 0.0000 0.0000
0.5000 0.5000 0.5000
0.0000 0.0000 0.5000
0.0000 0.5000 0.0000
0.5000 0.0000 0.0000
```

Most stable = version 2

Version 1
A plane-wave DFT calculation with GGA-PBE was carried out for a relaxed Be2RuF crystal.

```
Be2RuF
1.0
5.6029 0.0000 0.0000
0.0000 5.6029 0.0000
0.0000 0.0000 5.6029
Be Ru F
8 4 4
direct
0.2500 0.2500 0.2500
0.2500 0.2500 0.7500
0.2500 0.7500 0.2500
0.2500 0.7500 0.7500
0.7500 0.2500 0.2500
0.7500 0.2500 0.7500
0.7500 0.7500 0.2500
0.7500 0.7500 0.7500
0.0000 0.0000 0.0000
0.0000 0.5000 0.5000
0.5000 0.0000 0.5000
0.5000 0.5000 0.0000
0.0000 0.0000 0.5000
0.0000 0.5000 0.0000
0.5000 0.0000 0.0000
0.5000 0.5000 0.5000
```

Version 2
A plane-wave DFT calculation with GGA-PBE was carried out for a relaxed Be2RuF crystal.

```
Be2RuF
1.0
5.2099 0.0000 0.0000
0.0000 5.2099 0.0000
0.0000 0.0000 6.2749
Be Ru F
8 4 4
direct
0.1651 0.7500 0.1250
0.2500 0.1651 0.8750
0.2500 0.3349 0.3750
0.3349 0.7500 0.6250
0.6651 0.2500 0.6250
0.7500 0.6651 0.3750
0.7500 0.8349 0.8750
0.8349 0.2500 0.1250
0.0000 0.0000 0.5000
0.0000 0.5000 0.7500
0.5000 0.0000 0.2500
0.5000 0.5000 0.0000
0.0000 0.0000 0.0000
0.0000 0.5000 0.2500
0.5000 0.0000 0.7500
0.5000 0.5000 0.5000
```

Most stable = version 2

Version 1
A plane-wave DFT calculation with GGA-PBE was carried out for a relaxed YBeRu2F crystal.

```
YBeRu2F
1.0
4.0206 0.0000 0.0000
0.0000 4.0206 0.0000
0.0000 0.0000 5.0397
Y Be Ru F
1 1 2 1
direct
0.0000 0.0000 0.0000
0.5000 0.5000 0.5000
0.0000 0.5000 0.5000
0.5000 0.0000 0.5000
0.5000 0.5000 0.0000
```

Version 2
A plane-wave DFT calculation with GGA-PBE was carried out for a relaxed YBeRu2F crystal.

```
YBeRu2F
1.0
4.7268 0.0000 0.0000
0.0000 4.7268 0.0000
0.0000 0.0000 3.3528
Y Be Ru F
1 1 2 1
direct
0.0000 0.0000 0.0000
0.5000 0.5000 0.0000
0.0000 0.5000 0.5000
0.5000 0.0000 0.5000
0.5000 0.5000 0.5000
```

Most stable = version 1